# Y2ReSeCl (PBE, optimized geometry)
# * total magnetization: 0.0 μB per formula unit
# * raw formation energy: -166 meV/atom
data_Y2ReSeCl
_chemical_formula_sum 'Y2 Re1 Se1 Cl1'
_cell_length_a 5.4364
_cell_length_b 5.4364
_cell_length_c 4.4984
_cell_angle_alpha 90.00
_cell_angle_beta 90.00
_cell_angle_gamma 90.00
_space_group_name_H-M_alt 'P 1'
_space_group_IT_number 1
_space_group_name_Hall 'P 1'
loop_
_atom_site_label
_atom_site_type_symbol
_atom_site_fract_x
_atom_site_fract_y
_atom_site_fract_z
Y1 Y 0.0000 0.5000 0.0000
Y2 Y 0.5000 0.0000 0.0000
Re1 Re 0.0000 0.0000 0.0000
Se1 Se 0.5000 0.5000 0.5000
Cl1 Cl 0.0000 0.0000 0.5000